Entry from OQMD: Fe2H3Pd2 after structural relaxation (GGA-PBE).

a = 3.890 Å, b = 3.890 Å, c = 4.142 Å
α = 90.00°, β = 90.00°, γ = 90.00°
Positions (direct):
Fe  0.000  0.500  0.000
Fe  0.500  0.000  0.000
H  0.000  0.000  0.000
H  0.000  0.500  0.500
H  0.500  0.000  0.500
Pd  0.000  0.000  0.500
Pd  0.500  0.500  0.500

Results
Space group: No. 123
Electronic total energy: -5.228 eV/atom
Size of the total moment: 5.6 μB per cell